(1)
A geometry-optimized YCo2Mo structure. Source: the Alexandria database, functional GGA-PBE.

Properties
Calculated volume in Å³/f.u.: 62
Polymorph energy (0 for the lowest one) in meV/atom: 389

Lattice parameters (Å, degrees): 5.1379 5.1379 5.1379 136.99 136.99 62.45
Closest atoms and distances in Å follow each position.
Element x y z (fractional)
Co1 0.0000 0.0000 0.0000  4 Mo 2.66, 4 Y 2.89, 4 Co 2.89
Co2 0.2500 0.7500 0.5000  4 Y 2.66, 4 Mo 2.89, 4 Co 2.89
Mo1 0.5000 0.5000 0.0000  8 Co 2.66-2.89, 4 Y 2.89
Y1 0.7500 0.2500 0.5000  8 Co 2.66-2.89, 4 Mo 2.89

(2)
A geometry-optimized CePa3Rh structure. Source: the Alexandria database, functional GGA-PBE.

Properties
Calculated volume in Å³/f.u.: 128

Lattice parameters (Å, degrees): 4.1175 5.0936 6.9153 68.40 72.67 90.00
Closest atoms and distances in Å follow each position.
Element x y z (fractional)
Ce1 0.4033 0.2066 0.8990  4 Rh 3.54, 8 Pa 3.55-3.64
Pa1 0.6564 0.9599 0.3925  2 Rh 2.70
Pa2 0.1438 0.4472 0.4178  2 Pa 2.73, 2 Rh 3.00-3.01
Pa3 0.7916 0.5949 0.1223  1 Rh 2.70, 2 Pa 2.73
Rh1 0.0128 0.8165 0.6796  5 Pa 2.70-3.01

(3)
A geometry-optimized TiHg3Au structure. Source: the Alexandria database, functional GGA-PBE.

Properties
Calculated volume in Å³/f.u.: 147
Polymorph energy (0 for the lowest one) in meV/atom: 0

Lattice parameters (Å, degrees): 5.2737 5.2737 5.2737 90.00 90.00 90.00
Closest atoms and distances in Å follow each position.
Element x y z (fractional)
Au1 0.0000 0.0000 0.0000  6 Hg 2.64
Hg1 0.0000 0.5000 0.0000  2 Au 2.64
Hg2 0.0000 0.0000 0.5000  2 Au 2.64
Hg3 0.5000 0.0000 0.0000  2 Au 2.64
Ti1 0.5000 0.5000 0.5000  12 Hg 3.73

(4)
A geometry-optimized LaNd6Sm3Tm2 structure. Source: the Alexandria database, functional GGA-PBE.

Properties
Calculated volume in Å³/f.u.: 410

Lattice parameters (Å, degrees): 6.3170 6.3170 12.0595 95.02 95.02 119.99
Closest atoms and distances in Å follow each position.
Element x y z (fractional)
La1 0.0000 0.0000 0.0000  6 Nd 3.64, 6 Tm 3.65
Nd1 0.9167 0.5818 0.7510  2 Tm 3.63, 1 La 3.64, 6 Nd 3.64-3.66, 3 Sm 3.64-3.65
Nd2 0.7486 0.7486 0.2492  2 Tm 3.63, 1 La 3.64, 6 Nd 3.64-3.66, 3 Sm 3.64-3.65
Nd3 0.0833 0.4182 0.2490  2 Tm 3.63, 1 La 3.64, 6 Nd 3.64-3.66, 3 Sm 3.64-3.65
Nd4 0.5818 0.9167 0.7510  2 Tm 3.63, 1 La 3.64, 6 Nd 3.64-3.66, 3 Sm 3.64-3.65
Nd5 0.2514 0.2514 0.7508  2 Tm 3.63, 1 La 3.64, 6 Nd 3.64-3.66, 3 Sm 3.64-3.65
Nd6 0.4182 0.0833 0.2490  2 Tm 3.63, 1 La 3.64, 6 Nd 3.64-3.66, 3 Sm 3.64-3.65
Sm1 0.1672 0.8328 0.5000  6 Nd 3.64-3.65, 6 Sm 3.64-3.66
Sm2 0.8328 0.1672 0.5000  6 Nd 3.64-3.65, 6 Sm 3.64-3.66
Sm3 0.5000 0.5000 0.5000  6 Sm 3.64-3.65, 6 Nd 3.64-3.65
Tm1 0.3335 0.6665 0.0000  6 Nd 3.63, 3 Tm 3.64-3.65, 3 La 3.65
Tm2 0.6665 0.3335 0.0000  6 Nd 3.63, 3 Tm 3.64-3.65, 3 La 3.65

| no. | size of the total moment (Bohr magnetons per cell) | formation energy (eV/atom) |
| --- | --- | --- |
| 1 | 0.00 | 0.402 |
| 2 | 0.70 | -0.070 |
| 3 | 2.73 | 0.687 |
| 4 | 0.00 | 0.018 |